Material: TiV2InO
Method: DFT, GGA+U
State: relaxed

a = 4.5713 Å, b = 5.2074 Å, c = 4.5713 Å
α = 90.00°, β = 90.00°, γ = 90.00°
Each line ends with the local moment (μB).
Atoms (fractional coordinates):
V: 0.0000 0.0000 0.5000  2.00
V: 0.5000 0.0000 0.0000  2.42
O: 0.5000 0.5000 0.5000  0.10
Ti: 0.0000 0.0000 0.0000  -0.48
In: 0.0000 0.5000 0.0000  -0.10

Properties
VASP energy = -4.38 eV per atom
Total magnetic moment = 4.298 μB/f.u.